No. 1
A plane-wave DFT calculation with PBE was carried out for a relaxed structure of K2NiSn2.

a = 6.9119 Å, b = 6.9119 Å, c = 6.0567 Å
α = 90.00°, β = 90.00°, γ = 90.00°
Positions (direct):
Ni 0.0000 0.0000 0.0000
Ni 0.5000 0.5000 0.0000
K 0.1771 0.6771 0.5000
K 0.6771 0.8229 0.5000
K 0.8229 0.3229 0.5000
K 0.3229 0.1771 0.5000
Sn 0.3459 0.8459 0.0000
Sn 0.8459 0.6541 0.0000
Sn 0.6541 0.1541 0.0000
Sn 0.1541 0.3459 0.0000

Calculated values
E_form = -1.79 kJ per mole of atoms

***

No. 2
A plane-wave DFT calculation with PBE was carried out for a relaxed structure of Mg5ZnAu.

a = 7.2257 Å, b = 7.2257 Å, c = 9.3743 Å
α = 65.48°, β = 65.48°, γ = 69.17°
Positions (direct):
Mg 0.7595 0.7344 0.1505
Mg 0.3001 0.6624 0.4677
Mg 0.7344 0.7595 0.6505
Mg 0.8746 0.1254 0.2500
Mg 0.3376 0.6999 0.0323
Mg 0.6624 0.3001 0.9677
Mg 0.1254 0.8746 0.7500
Mg 0.2656 0.2405 0.3495
Mg 0.6999 0.3376 0.5323
Mg 0.2405 0.2656 0.8495
Zn 0.5485 0.4515 0.2500
Zn 0.4515 0.5485 0.7500
Au 0.0000 0.0000 0.0000
Au 0.0000 0.0000 0.5000

Calculated values
E_form = 4.46 kJ per mole of atoms

***

No. 3
A plane-wave DFT calculation with PBE was carried out for a relaxed structure of CeHoMgPb.

a = 5.4162 Å, b = 5.4162 Å, c = 5.4162 Å
α = 60.00°, β = 60.00°, γ = 60.00°
Site moments in Bohr magnetons follow the coordinates.
Positions (direct):
Pb 0.0000 0.0000 0.0000  0.00
Mg 0.5000 0.5000 0.5000  0.01
Ho 0.2500 0.2500 0.2500  0.10
Ce 0.7500 0.7500 0.7500  0.89

Calculated values
E_form = -20.51 kJ per mole of atoms

***

No. 4
A plane-wave DFT calculation with PBE was carried out for a relaxed structure of PmHoSc3.

a = 5.9820 Å, b = 8.7567 Å, c = 11.2871 Å
α = 110.23°, β = 90.00°, γ = 90.00°
Positions (direct):
Pm 0.1674 0.9466 0.6035
Pm 0.6674 0.5534 0.8965
Pm 0.8326 0.0534 0.3965
Pm 0.3326 0.4466 0.1035
Ho 0.6612 0.7415 0.5004
Ho 0.3388 0.2585 0.4996
Ho 0.8388 0.2415 0.0004
Ho 0.1612 0.7585 0.9996
Sc 0.8392 0.4531 0.6007
Sc 0.6608 0.9531 0.1007
Sc 0.3245 0.6483 0.7005
Sc 0.8245 0.8517 0.7995
Sc 0.6755 0.3517 0.2995
Sc 0.1608 0.5469 0.3993
Sc 0.1664 0.3483 0.7963
Sc 0.8336 0.6517 0.2037
Sc 0.3392 0.0469 0.8993
Sc 0.1755 0.1483 0.2005
Sc 0.3336 0.8483 0.2963
Sc 0.6664 0.1517 0.7037

Calculated values
E_form = 3.21 kJ per mole of atoms
Distance to the lowest polymorph of the same formula = 0.0000 eV/atom

***

No. 5
A plane-wave DFT calculation with PBE was carried out for a relaxed structure of Li2MnPd2.

a = 4.3287 Å, b = 4.3287 Å, c = 4.7484 Å
α = 62.88°, β = 62.88°, γ = 90.00°
Site moments in Bohr magnetons follow the coordinates.
Positions (direct):
Mn 0.0000 0.0000 0.0000  0.07
Pd 0.7500 0.2500 0.5000  -0.01
Pd 0.2500 0.7500 0.5000  -0.01
Li 0.3684 0.3684 0.2632  0.00
Li 0.6316 0.6316 0.7368  0.00

Calculated values
E_form = 37.93 kJ per mole of atoms
Distance to the lowest polymorph of the same formula = 0.6313 eV/atom

***

No. 6
A plane-wave DFT calculation with PBE was carried out for a relaxed structure of LaGe3O.

a = 5.7067 Å, b = 5.7067 Å, c = 5.7067 Å
α = 90.00°, β = 90.00°, γ = 90.00°
Positions (direct):
Ge 0.0000 0.5000 0.0000
Ge 0.0000 0.0000 0.5000
Ge 0.5000 0.0000 0.0000
O 0.5000 0.5000 0.5000
La 0.0000 0.0000 0.0000

Calculated values
Distance to the lowest polymorph of the same formula = 1.9667 eV/atom

***

No. 7
A plane-wave DFT calculation with PBE was carried out for a relaxed structure of HoPaHgPb.

a = 5.3410 Å, b = 5.3410 Å, c = 5.3410 Å
α = 60.00°, β = 60.00°, γ = 60.00°
Site moments in Bohr magnetons follow the coordinates.
Positions (direct):
Pb 0.7500 0.7500 0.7500  0.00
Pa 0.0000 0.0000 0.0000  1.10
Hg 0.2500 0.2500 0.2500  0.01
Ho 0.5000 0.5000 0.5000  0.20

Calculated values
E_form = -4.65 kJ per mole of atoms

***

No. 8
A plane-wave DFT calculation with PBE was carried out for a relaxed structure of RbNa2RhF8.

a = 5.0629 Å, b = 4.9826 Å, c = 7.7744 Å
α = 89.52°, β = 89.80°, γ = 91.87°
Site moments in Bohr magnetons follow the coordinates.
Positions (direct):
Rb 0.0000 0.0000 0.5000  0.00
Na 0.4992 0.4982 0.7579  0.00
Na 0.5008 0.5018 0.2421  0.00
Rh 0.0000 0.0000 0.0000  0.86
F 0.1441 0.7750 0.1782  0.07
F 0.6886 0.7637 0.9981  0.07
F 0.8488 0.2191 0.1766  0.07
F 0.8559 0.2250 0.8218  0.07
F 0.3114 0.2363 0.0019  0.07
F 0.1512 0.7809 0.8234  0.07
F 0.5097 0.7331 0.4995  0.30
F 0.4903 0.2669 0.5005  0.30

***

The final energy results, record by record, are as follows: -32.1, -24.4, -16.7, -112.6, -21.4, -16.4, -18.3, -51.0 eV/cell.